{"formula": "AsPtPb", "functional": "PBE-GGA", "state": "optimized geometry", "lattice": [[-3.437, 1.623, -0.547], [1.131, -2.904, -2.244], [-2.250, -3.583, 3.502]], "species": ["Pb", "As", "Pt"], "frac_coords": [[0.667, 0.333, 0.366], [0.000, 0.000, 0.917], [0.333, 0.667, 0.717]], "dft_energy_ev_per_fu": -15.0, "delta_e_f_mev_per_atom": -201, "magnetic_moment_mub_per_cell": 0.000, "density_g_cm3": 11.30}



{"formula": "Sc2SCl", "functional": "PBE-GGA", "state": "optimized geometry", "lattice": [[-5.070, 2.776, 0.337], [-2.647, -4.541, -2.429], [-4.758, -3.162, 4.194]], "species": ["Sc", "Sc", "Sc", "Sc", "Cl", "Cl", "S", "S"], "frac_coords": [[0.141, 0.625, 0.250], [0.609, 0.125, 0.250], [0.875, 0.859, 0.750], [0.375, 0.391, 0.750], [0.750, 0.250, 0.500], [0.000, 0.000, 0.000], [0.250, 0.750, 0.500], [0.500, 0.500, 0.000]], "dft_energy_ev_per_fu": -23.4, "magnetic_moment_mub_per_cell": 0.000, "density_g_cm3": 2.70}



{"formula": "Pm2Er5Tl", "functional": "PBE-GGA", "state": "optimized geometry", "lattice": [[-3.929, 2.182, 2.039], [0.202, -4.584, 5.294], [8.487, 8.612, 7.134]], "species": ["Tl", "Tl", "Pm", "Pm", "Pm", "Pm", "Er", "Er", "Er", "Er", "Er", "Er", "Er", "Er", "Er", "Er"], "frac_coords": [[0.000, 0.500, 0.000], [0.000, 0.000, 0.500], [0.500, 0.745, 0.371], [0.500, 0.245, 0.129], [0.500, 0.255, 0.629], [0.500, 0.755, 0.871], [0.000, 0.500, 0.500], [0.500, 0.256, 0.376], [0.000, 0.000, 0.000], [0.500, 0.744, 0.624], [0.500, 0.244, 0.876], [0.000, 0.494, 0.757], [0.000, 0.006, 0.257], [0.000, 0.506, 0.243], [0.000, 0.994, 0.743], [0.500, 0.756, 0.124]], "dft_energy_ev_per_fu": -35.2, "delta_e_f_mev_per_atom": -59, "magnetic_moment_mub_per_cell": 0.000, "density_g_cm3": 9.11}



{"formula": "SrNpAg2Se4", "functional": "PBE-GGA", "state": "optimized geometry", "lattice": [[7.110, 0.000, 0.000], [3.555, 5.513, 0.016], [3.555, 0.468, 5.493]], "species": ["Se", "Se", "Se", "Se", "Sr", "Ag", "Ag", "Np"], "frac_coords": [[0.469, 0.080, 0.531], [0.531, 0.469, 0.920], [0.919, 0.531, 0.080], [0.081, 0.920, 0.469], [0.000, 0.000, 0.000], [0.178, 0.322, 0.322], [0.822, 0.678, 0.678], [0.500, 0.500, 0.500]], "dft_energy_ev_per_fu": -40.6, "magnetic_moment_mub_per_cell": 3.371, "density_g_cm3": 6.60}



{"formula": "Tb3SmHo", "functional": "PBE-GGA", "state": "optimized geometry", "lattice": [[9.541, 0.000, -1.245], [0.000, 5.683, 0.000], [-1.277, 0.000, 6.175]], "species": ["Sm", "Sm", "Tb", "Tb", "Tb", "Tb", "Tb", "Tb", "Ho", "Ho"], "frac_coords": [[0.200, 0.450, 0.433], [0.800, 0.950, 0.567], [0.999, 0.950, 0.165], [0.401, 0.950, 0.366], [0.201, 0.950, 0.767], [0.599, 0.450, 0.634], [0.001, 0.450, 0.835], [0.799, 0.450, 0.233], [0.401, 0.450, 0.033], [0.599, 0.950, 0.967]], "dft_energy_ev_per_fu": -23.1, "delta_e_f_mev_per_atom": 15, "magnetic_moment_mub_per_cell": 0.000, "density_g_cm3": 8.07}



{"formula": "KUPt2O8", "functional": "PBE-GGA", "state": "optimized geometry", "lattice": [[-5.013, -0.364, 0.418], [-0.092, -4.624, -1.989], [0.692, -2.605, 6.026]], "species": ["O", "O", "O", "O", "O", "O", "O", "O", "U", "Pt", "Pt", "K"], "frac_coords": [[0.660, 0.661, 0.500], [0.212, 0.787, 0.793], [0.325, 0.323, 0.000], [0.675, 0.677, 0.000], [0.212, 0.787, 0.207], [0.788, 0.213, 0.207], [0.340, 0.339, 0.500], [0.788, 0.213, 0.793], [0.000, 0.000, 0.000], [0.500, 0.500, 0.752], [0.500, 0.500, 0.248], [0.000, 0.000, 0.500]], "dft_energy_ev_per_fu": -80.3, "magnetic_moment_mub_per_cell": 1.019, "density_g_cm3": 7.89}



{"formula": "TbCeNiPt", "functional": "PBE-GGA", "state": "optimized geometry", "lattice": [[-3.000, -2.162, 0.542], [0.188, -1.301, -4.147], [4.684, -2.982, 1.147]], "species": ["Ce", "Tb", "Ni", "Pt"], "frac_coords": [[0.866, 0.500, 0.731], [0.141, 0.000, 0.281], [0.411, 0.000, 0.821], [0.583, 0.500, 0.166]], "dft_energy_ev_per_fu": -25.5, "delta_e_f_mev_per_atom": -785, "magnetic_moment_mub_per_cell": 0.312, "density_g_cm3": 10.55}



{"formula": "LiAgAsO4", "functional": "PBE-GGA", "state": "optimized geometry", "lattice": [[-3.400, -0.519, 3.374], [-1.591, -3.972, -2.214], [5.220, -0.169, 1.795]], "species": ["Li", "O", "O", "O", "O", "Ag", "As"], "frac_coords": [[0.250, 0.750, 0.500], [0.207, 0.154, 0.774], [0.846, 0.432, 0.226], [0.568, 0.620, 0.774], [0.380, 0.793, 0.226], [0.000, 0.000, 0.000], [0.500, 0.500, 0.000]], "dft_energy_ev_per_fu": -36.7, "magnetic_moment_mub_per_cell": 0.812, "density_g_cm3": 4.18}



{"formula": "ZnRu2", "functional": "PBE-GGA", "state": "optimized geometry", "lattice": [[3.828, 0.000, 0.000], [0.000, 3.828, 0.000], [-1.914, -1.914, 11.478]], "species": ["Ru", "Ru", "Ru", "Ru", "Ru", "Ru", "Ru", "Ru", "Zn", "Zn", "Zn", "Zn"], "frac_coords": [[0.004, 0.504, 0.008], [0.754, 0.754, 0.508], [0.246, 0.246, 0.492], [0.834, 0.334, 0.668], [0.496, 0.996, 0.992], [0.416, 0.416, 0.832], [0.666, 0.166, 0.332], [0.584, 0.584, 0.168], [0.332, 0.832, 0.664], [0.082, 0.082, 0.164], [0.918, 0.918, 0.836], [0.168, 0.668, 0.336]], "dft_energy_ev_per_fu": -19.2, "delta_e_f_mev_per_atom": 210, "magnetic_moment_mub_per_cell": 0.000, "density_g_cm3": 10.57}



{"formula": "HfVIr2", "functional": "PBE-GGA", "state": "optimized geometry", "lattice": [[5.712, 0.000, 0.000], [0.000, 5.712, 0.000], [2.856, 2.856, 5.702]], "species": ["Hf", "Hf", "V", "V", "Ir", "Ir", "Ir", "Ir"], "frac_coords": [[0.000, 0.000, 0.000], [0.750, 0.250, 0.500], [0.250, 0.750, 0.500], [0.500, 0.500, 0.000], [0.588, 0.125, 0.250], [0.875, 0.838, 0.750], [0.375, 0.412, 0.750], [0.162, 0.625, 0.250]], "dft_energy_ev_per_fu": -35.1, "delta_e_f_mev_per_atom": 413, "magnetic_moment_mub_per_cell": 0.000, "density_g_cm3": 10.96}



{"formula": "Rb2CuCl", "functional": "PBE-GGA", "state": "optimized geometry", "lattice": [[-7.879, -3.657, 0.106], [2.915, -6.428, -5.065], [-1.222, -7.641, 1.544]], "species": ["Cl", "Cl", "Rb", "Rb", "Rb", "Rb", "Cu", "Cu"], "frac_coords": [[0.500, 0.500, 0.000], [0.250, 0.750, 0.500], [0.375, 0.397, 0.750], [0.875, 0.853, 0.750], [0.147, 0.625, 0.250], [0.603, 0.125, 0.250], [0.750, 0.250, 0.500], [0.000, 0.000, 0.000]], "dft_energy_ev_per_fu": -10.4, "magnetic_moment_mub_per_cell": 0.000, "density_g_cm3": 2.40}



{"formula": "Pr4Y7Th", "functional": "PBE-GGA", "state": "optimized geometry", "lattice": [[6.325, -0.117, 3.477], [2.450, 6.979, 3.321], [4.043, -0.242, 11.224]], "species": ["Y", "Y", "Y", "Y", "Y", "Y", "Y", "Pr", "Pr", "Pr", "Pr", "Th"], "frac_coords": [[0.247, 0.505, 0.000], [0.246, 0.836, 0.672], [0.754, 0.164, 0.328], [0.000, 0.671, 0.329], [0.000, 0.329, 0.671], [0.753, 0.495, 0.000], [0.500, 0.000, 0.000], [0.741, 0.835, 0.671], [0.495, 0.329, 0.669], [0.259, 0.165, 0.329], [0.505, 0.671, 0.331], [0.000, 0.000, 0.000]], "dft_energy_ev_per_fu": -71.5, "delta_e_f_mev_per_atom": 21, "magnetic_moment_mub_per_cell": 0.000, "density_g_cm3": 5.86}